Computed, not measured: a geometry-optimized Ta2BeGeF structure at the PBE level of DFT.

Results
* E_form (uncorrected): 0.5228 eV per atom
* size of the total moment: 0.00 μB/cell

Lattice parameters (Å, degrees): 4.4868 4.4868 3.9247 90.00 90.00 90.00
With the nearest neighbours (Å) after each atom.
Space group P4/mmm (No. 123)
Symmetry-distinct sites (fractional):
Ta1 0.0000 0.5000 0.0000 x2  2 Be 2.24
Be1 0.0000 0.0000 0.0000 x1  2 Ge 1.96
Ge1 0.0000 0.0000 0.5000 x1  2 Be 1.96
F1 0.5000 0.5000 0.5000 x1  8 Ta 2.98, 4 Ge 3.17

Computed, not measured: a geometry-optimized Sc4Te3S2 structure at the PBE level of DFT.

Results
* E_form (uncorrected): -1.3750 eV per atom
* size of the total moment: 0.00 μB/cell

Lattice parameters (Å, degrees): 14.2283 3.8868 8.5361 90.00 92.92 90.00
With the nearest neighbours (Å) after each atom.
Space group C2/m (No. 12)
Symmetry-distinct sites (fractional):
Sc1 0.1449 0.0000 0.4023 x4  3 S 2.55-2.63
Sc2 0.1824 0.5000 0.8357 x4  2 S 2.59, 2 Te 2.87
Te1 0.0000 0.5000 0.5000 x2  4 Sc 2.98
Te2 0.1204 0.0000 0.0559 x4  4 Sc 2.87-2.96
S1 0.2396 0.0000 0.6644 x4  5 Sc 2.55-2.63

Computed, not measured: a geometry-optimized Pm6Cu2Ag structure at the PBE level of DFT.

Results
* E_form: -1.0 eV per formula unit
* size of the total moment: 0.00 μB/cell

Lattice parameters (Å, degrees): 9.8193 9.9000 10.2671 90.00 90.00 90.00
With the nearest neighbours (Å) after each atom.
Space group Immm (No. 71)
Symmetry-distinct sites (fractional):
Pm1 0.0000 0.1896 0.2474 x8  2 Cu 3.02-3.37, 2 Ag 3.16-3.20
Pm2 0.1956 0.5000 0.1771 x8  3 Cu 2.84-3.01
Pm3 0.2255 0.3217 0.5000 x8  3 Cu 3.08-3.21, 1 Ag 3.22
Cu1 0.0000 0.3538 0.0000 x4  1 Cu 2.90, 8 Pm 3.01-3.21
Cu2 0.0000 0.5000 0.3815 x4  1 Cu 2.43
Ag1 0.0000 0.0000 0.0000 x2  8 Pm 3.16-3.22, 2 Cu 3.50
Ag2 0.0000 0.0000 0.5000 x2  8 Pm 3.20-3.50

Computed, not measured: a geometry-optimized KBa2TlIn structure at the PBE level of DFT.

Results
* E_form: 0.0 eV per formula unit
* size of the total moment: 0.00 μB/cell

Lattice parameters (Å, degrees): 6.8381 6.8381 5.7501 90.00 90.00 90.00
With the nearest neighbours (Å) after each atom.
Space group P4/mmm (No. 123)
Symmetry-distinct sites (fractional):
K1 0.0000 0.0000 0.0000 x1  8 Ba 4.47, 4 In 4.84
Ba1 0.0000 0.5000 0.5000 x2  2 Tl 3.42
Tl1 0.5000 0.5000 0.5000 x1  2 In 2.88
In1 0.5000 0.5000 0.0000 x1  2 Tl 2.88

Computed, not measured: a geometry-optimized Cs2ZrPF6 structure at the PBE level of DFT.

Results
* E_form (uncorrected): -2.6498 eV per atom
* size of the total moment: 6.00 μB/cell

Lattice parameters (Å, degrees): 7.0755 7.0755 10.0905 90.00 90.00 90.00
With the nearest neighbours (Å) after each atom.
Space group I4/mmm (No. 139)
Symmetry-distinct sites (fractional):
Cs1 0.0000 0.5000 0.2500 x4  12 F 3.57-3.58
Zr1 0.0000 0.0000 0.0000 x2  6 F 2.04
P1 0.0000 0.0000 0.5000 x2  6 F 2.96-3.01
F1 0.0000 0.0000 0.2022 x4  1 Zr 2.04
F2 0.2039 0.2039 0.0000 x8  1 Zr 2.04

Computed, not measured: a geometry-optimized Be2AlGa2Pt5 structure at the PBE level of DFT.

Results
* E_form: -6.0 eV per formula unit
* size of the total moment: 0.00 μB/cell

Lattice parameters (Å, degrees): 9.1542 9.1542 3.3948 90.00 90.00 90.00
With the nearest neighbours (Å) after each atom.
Space group P4/mbm (No. 127)
Symmetry-distinct sites (fractional):
Be1 0.1273 0.3727 0.0000 x4  6 Pt 2.37, 1 Ga 2.63
Al1 0.0000 0.0000 0.0000 x2  8 Pt 2.61
Ga1 0.1693 0.6693 0.0000 x4  3 Be 2.63-2.74, 6 Pt 2.77
Pt1 0.0000 0.5000 0.5000 x2  4 Be 2.37
Pt2 0.0934 0.1951 0.5000 x8  2 Be 2.37, 2 Al 2.61

Computed, not measured: a geometry-optimized Fe2Ni5Ge structure at the PBE level of DFT.

Results
* E_form: -0.7 eV per formula unit
* size of the total moment: 16.55 μB/cell

Lattice parameters (Å, degrees): 5.0783 10.1034 3.5964 90.00 90.00 90.00
With the nearest neighbours (Å) after each atom.
Space group Pbam (No. 55)
Symmetry-distinct sites (fractional):
Fe1 0.2275 0.1323 0.0000 x4  10 Ni 2.48-2.59, 2 Ge 2.63
Ni1 0.0000 0.0000 0.5000 x2  4 Fe 2.52, 6 Ni 2.53-2.56, 2 Ge 2.54
Ni2 0.0161 0.7500 0.5000 x4  4 Fe 2.49-2.52, 7 Ni 2.53-2.56, 1 Ge 2.53
Ni3 0.2377 0.3777 0.0000 x4  4 Fe 2.48-2.59, 2 Ge 2.49, 6 Ni 2.54-2.56
Ge1 0.0000 0.5000 0.5000 x2  8 Ni 2.49-2.54, 4 Fe 2.63

Computed, not measured: a geometry-optimized InIN2 structure at the PBE level of DFT.

Results
* E_form (uncorrected): -0.1345 eV per atom
* size of the total moment: 0.00 μB/cell
* distance to the lowest polymorph of the same formula: 0 meV per atom

Lattice parameters (Å, degrees): 4.6365 24.1525 5.7674 90.00 90.36 90.00
With the nearest neighbours (Å) after each atom.
Space group C2/c (No. 15)
Symmetry-distinct sites (fractional):
In1 0.0000 0.0000 0.0000 x4  2 In 2.88
I1 0.0000 0.4190 0.2500 x4  4 In 3.35-3.37
N1 0.1169 0.2853 0.7259 x8  1 N 1.12

Computed, not measured: a geometry-optimized AgBPt2 structure at the PBE level of DFT.

Results
* E_form: 0.0 eV per formula unit
* size of the total moment: 0.00 μB/cell

Lattice parameters (Å, degrees): 2.7636 2.7636 7.2226 90.00 90.00 90.00
With the nearest neighbours (Å) after each atom.
Space group P4/mmm (No. 123)
Symmetry-distinct sites (fractional):
Ag1 0.0000 0.0000 0.0000 x1  4 Ag 2.76, 8 Pt 2.99
B1 0.0000 0.0000 0.5000 x1  8 Pt 2.37
Pt1 0.5000 0.5000 0.3132 x2  4 B 2.37

Computed, not measured: a geometry-optimized MnGa2PN structure at the PBE level of DFT.

Results
* E_form (uncorrected): 0.4417 eV per atom
* size of the total moment: 0.00 μB/cell

Lattice parameters (Å, degrees): 4.4391 4.4391 3.6076 90.00 90.00 90.00
With the nearest neighbours (Å) after each atom.
Space group P4/mmm (No. 123)
Symmetry-distinct sites (fractional):
Mn1 0.0000 0.0000 0.0000 x1  2 N 1.80
Ga1 0.0000 0.5000 0.5000 x2  2 N 2.22
P1 0.5000 0.5000 0.0000 x1  8 Ga 2.86, 4 Mn 3.14
N1 0.0000 0.0000 0.5000 x1  2 Mn 1.80

Computed, not measured: a geometry-optimized YW structure at the PBE level of DFT.

Results
* E_form: 1.2 eV per formula unit
* size of the total moment: 0.00 μB/cell
* distance to the lowest polymorph of the same formula: 369 meV per atom

Lattice parameters (Å, degrees): 6.9404 6.9404 6.9404 90.00 90.00 90.00
With the nearest neighbours (Å) after each atom.
Space group Fd-3m (No. 227, origin choice 2)
Symmetry-distinct sites (fractional):
Y1 0.1250 0.1250 0.1250 x8  4 W 3.01, 4 Y 3.01
W1 0.1250 0.1250 0.6250 x8  4 W 3.01, 4 Y 3.01

Computed, not measured: a geometry-optimized NaCdAg2Cl8 structure at the PBE level of DFT.

Results
* E_form (uncorrected): -0.6023 eV per atom
* size of the total moment: 0.01 μB/cell

Lattice parameters (Å, degrees): 6.8306 6.8306 14.1196 90.00 90.00 90.00
With the nearest neighbours (Å) after each atom.
Space group I-4 (No. 82)
Symmetry-distinct sites (fractional):
Na1 0.0000 0.0000 0.0000 x2  4 Cl 2.84
Cd1 0.0000 0.5000 0.7500 x2  4 Cl 2.56
Ag1 0.0000 0.0000 0.5000 x2  4 Cl 2.34
Ag2 0.0000 0.5000 0.2500 x2  4 Cl 2.50
Cl1 0.1287 0.3161 0.5120 x8  1 Ag 2.34
Cl2 0.1737 0.8203 0.2323 x8  1 Ag 2.50, 1 Cd 2.56

Computed, not measured: a geometry-optimized Pb6Br7Cl5 structure at the PBE level of DFT.

Results
* E_form (uncorrected): -1.0054 eV per atom
* size of the total moment: 0.00 μB/cell

Lattice parameters (Å, degrees): 13.6117 10.1993 9.6684 90.00 90.00 90.00
With the nearest neighbours (Å) after each atom.
Space group Amm2 (No. 38)
Symmetry-distinct sites (fractional):
Pb1 0.0000 0.0000 0.0000 x2  4 Cl 2.92-2.95, 2 Br 3.05
Pb2 0.1663 0.0000 0.4997 x4  2 Cl 2.93-2.94, 4 Br 3.05
Pb3 0.3286 0.0000 0.9985 x4  3 Cl 2.92-2.95, 3 Br 3.04-3.06
Pb4 0.5000 0.0000 0.5147 x2  1 Cl 2.88, 5 Br 3.04-3.06
Br1 0.0000 0.2008 0.4994 x4  3 Pb 3.05
Br2 0.3325 0.2003 0.5074 x8  3 Pb 3.05-3.06
Br3 0.5000 0.0000 0.2008 x2  3 Pb 3.04
Cl1 0.1628 0.0000 0.8027 x4  3 Pb 2.92-2.95
Cl2 0.1664 0.0000 0.1955 x4  3 Pb 2.92-2.95
Cl3 0.5000 0.0000 0.8123 x2  3 Pb 2.88-2.95

Computed, not measured: a geometry-optimized K2PdN2 structure at the PBE level of DFT.

Results
* E_form (uncorrected): 0.0303 eV per atom
* size of the total moment: 0.00 μB/cell

Lattice parameters (Å, degrees): 8.3437 8.3437 3.2252 90.00 90.00 90.00
With the nearest neighbours (Å) after each atom.
Space group P4/mbm (No. 127)
Symmetry-distinct sites (fractional):
K1 0.2398 0.2602 0.0000 x4  6 N 2.97-3.31, 2 K 3.23
Pd1 0.0000 0.0000 0.5000 x2  2 Pd 3.23, 8 K 3.36
N1 0.0491 0.5491 0.5000 x4  1 N 1.16

Computed, not measured: a geometry-optimized NiGeB structure at the PBE level of DFT.

Results
* E_form: 0.2 eV per formula unit
* size of the total moment: 0.00 μB/cell
* distance to the lowest polymorph of the same formula: 27 meV per atom

Lattice parameters (Å, degrees): 3.2169 3.5193 7.1577 86.09 78.88 70.32
With the nearest neighbours (Å) after each atom.
Space group P-1 (No. 2)
Symmetry-distinct sites (fractional):
Ni1 0.1691 0.4831 0.1436 x2  4 B 2.07-2.22
Ge1 0.4506 0.8602 0.3430 x2  1 B 2.29, 3 Ni 2.46-2.53
B1 0.2659 0.9927 0.9613 x2  2 B 1.68-1.72

Computed, not measured: a geometry-optimized HfSc4In structure at the PBE level of DFT.

Results
* E_form: 2.7 eV per formula unit
* size of the total moment: 4.04 μB/cell
* distance to the lowest polymorph of the same formula: 0 meV per atom

Lattice parameters (Å, degrees): 4.8224 4.8224 24.6152 90.00 90.00 120.00
With the nearest neighbours (Å) after each atom.
Space group R-3m (No. 166, hexagonal axes)
Symmetry-distinct sites (fractional):
Hf1 0.0000 0.0000 0.0000 x3  8 Sc 2.95-2.97
Sc1 0.0000 0.0000 0.1200 x6  1 Hf 2.95, 3 In 3.01
Sc2 0.0000 0.0000 0.3758 x6  3 Hf 2.97, 1 In 3.06
In1 0.0000 0.0000 0.5000 x3  8 Sc 3.01-3.06

Computed, not measured: a geometry-optimized USb2As2Pd7 structure at the PBE level of DFT.

Results
* E_form (uncorrected): -0.3567 eV per atom
* size of the total moment: 3.86 μB/cell

Lattice parameters (Å, degrees): 5.6644 5.6627 15.6181 90.00 100.39 90.00
With the nearest neighbours (Å) after each atom.
Space group C2/m (No. 12)
Symmetry-distinct sites (fractional):
U1 0.0000 0.0000 0.0000 x2  12 Pd 2.83-2.95
Sb1 0.2127 0.0000 0.4265 x4  5 Pd 2.67-2.86
As1 0.1177 0.5000 0.2393 x4  5 Pd 2.46-2.51
Pd1 0.0000 0.5000 0.0000 x2  4 U 2.83, 8 Pd 2.94-2.95
Pd2 0.1810 0.2499 0.8593 x8  2 As 2.51
Pd3 0.1990 0.5000 0.3996 x4  1 As 2.46, 1 Sb 2.67

Computed, not measured: a geometry-optimized MnCu2Pd5 structure at the PBE level of DFT.

Results
* E_form: -0.9 eV per formula unit
* size of the total moment: 8.97 μB/cell
* distance to the lowest polymorph of the same formula: 0 meV per atom

Lattice parameters (Å, degrees): 6.1199 6.1199 6.2551 90.00 90.00 90.00
With the nearest neighbours (Å) after each atom.
Space group I4mm (No. 107)
Symmetry-distinct sites (fractional):
Mn1 0.0000 0.0000 0.0000 x2  8 Pd 2.67
Cu1 0.0000 0.5000 0.0010 x4  8 Pd 2.67
Pd1 0.0000 0.0000 0.5023 x2  8 Pd 2.67
Pd2 0.2495 0.2495 0.2512 x8  4 Cu 2.67, 2 Mn 2.67, 2 Pd 2.67

Computed, not measured: a geometry-optimized LiCaMg2Rh structure at the PBE level of DFT.

Results
* E_form: -0.6 eV per formula unit
* size of the total moment: 0.00 μB/cell
* distance to the lowest polymorph of the same formula: 14 meV per atom

Lattice parameters (Å, degrees): 5.0681 5.0681 5.3083 90.00 90.00 90.00
With the nearest neighbours (Å) after each atom.
Space group P4/mmm (No. 123)
Symmetry-distinct sites (fractional):
Li1 0.0000 0.0000 0.0000 x1  4 Ca 3.58, 8 Mg 3.67
Ca1 0.5000 0.5000 0.0000 x1  2 Rh 2.65
Mg1 0.0000 0.5000 0.5000 x2  2 Rh 2.53
Rh1 0.5000 0.5000 0.5000 x1  4 Mg 2.53, 2 Ca 2.65

Computed, not measured: a geometry-optimized CdIn4Ga2 structure at the PBE level of DFT.

Results
* E_form: 0.5 eV per formula unit
* size of the total moment: 0.00 μB/cell

Lattice parameters (Å, degrees): 8.9097 9.1723 4.3087 90.00 90.00 90.00
With the nearest neighbours (Å) after each atom.
Space group Cmmm (No. 65)
Symmetry-distinct sites (fractional):
Cd1 0.0000 0.0000 0.0000 x2  4 Ga 2.97, 4 In 3.20
In1 0.1874 0.5000 0.5000 x4  2 Ga 3.04, 5 In 3.20-3.34
In2 0.2500 0.2500 0.0000 x4  4 Ga 3.11, 4 In 3.20, 2 Cd 3.20
Ga1 0.0000 0.2235 0.5000 x4  2 Cd 2.97, 6 In 3.04-3.11